No. 1
# Cd2IrCl

A relaxed Cd2IrCl crystal (GGA-PBEsol, Alexandria).

Structure (POSCAR):
```
Cd2IrCl
1.0
4.714 0.000 0.000
2.357 4.082 0.000
2.357 1.361 3.849
Cl Ir Cd
1 1 2
Direct
0.000 0.000 0.000
0.500 0.500 0.500
0.250 0.250 0.250
0.750 0.750 0.750
```

Summary:
* formation energy from raw total energies: 483 meV/atom
* DFT total energy: -12.3 eV/cell
* magnetic moment: 0.20 μB per formula unit
* mass density: 10.14 g cm⁻³
* SG: Fm-3m
* polymorph energy (0 for the lowest one): 0.207 eV per atom

No. 2
# SrLaZr

A relaxed SrLaZr crystal (GGA-PBEsol, Alexandria).

Structure (POSCAR):
```
SrLaZr
1.0
-4.144 -0.480 3.369
0.507 -2.910 4.475
0.134 2.431 4.778
La Sr Zr
1 1 1
Direct
0.500 0.500 0.500
0.250 0.250 0.250
0.000 0.000 0.000
```

Summary:
* DFT total energy: -12.4 eV/cell
* magnetic moment: 0.01 μB per formula unit
* mass density: 4.84 g cm⁻³
* SG: F-43m

No. 3
# Sr2ReAsIr

A relaxed Sr2ReAsIr crystal (GGA-PBEsol, Alexandria).

Structure (POSCAR):
```
Sr2ReAsIr
1.0
-0.702 -3.991 2.130
5.124 -1.708 -1.512
2.113 2.152 4.729
Re As Ir Sr
1 1 1 2
Direct
0.000 0.000 0.000
0.500 0.000 0.000
0.500 0.500 0.500
0.000 0.000 0.500
0.000 0.500 0.000
```

Summary:
* DFT total energy: -26.8 eV/cell
* magnetic moment: 1.21 μB per formula unit
* mass density: 7.25 g cm⁻³
* SG: P4/mmm

No. 4
# CoIr2Rh

A relaxed CoIr2Rh crystal (GGA-PBEsol, Alexandria).

Structure (POSCAR):
```
CoIr2Rh
1.0
-1.063 -2.017 -1.380
4.232 -1.257 1.150
-2.289 -1.352 3.740
Rh Ir Co
1 2 1
Direct
0.000 0.000 0.500
0.754 0.507 0.756
0.246 0.493 0.244
0.500 0.000 0.000
```

Summary:
* DFT total energy: -35.5 eV/cell
* magnetic moment: 1.79 μB per formula unit
* mass density: 17.30 g cm⁻³
* SG: C2/m
* polymorph energy (0 for the lowest one): 0.014 eV per atom

No. 5
# Fe2MoIr

A relaxed Fe2MoIr crystal (GGA-PBEsol, Alexandria).

Structure (POSCAR):
```
Fe2MoIr
1.0
2.612 0.000 0.000
0.000 2.612 0.000
0.000 0.000 7.235
Fe Ir Mo
2 1 1
Direct
0.000 0.000 0.758
0.000 0.000 0.242
0.500 0.500 0.000
0.500 0.500 0.500
```

Summary:
* DFT total energy: -39.2 eV/cell
* magnetic moment: 0.00 μB per formula unit
* mass density: 13.45 g cm⁻³
* SG: P4/mmm

No. 6
# Y2TlNi

A relaxed Y2TlNi crystal (GGA-PBEsol, Alexandria).

Structure (POSCAR):
```
Y2TlNi
1.0
3.425 0.000 0.000
0.000 3.425 0.000
0.000 0.000 7.578
Y Ni Tl
2 1 1
Direct
0.000 0.000 0.288
0.000 0.000 0.712
0.500 0.500 0.500
0.500 0.500 0.000
```

Summary:
* DFT total energy: -24.1 eV/cell
* magnetic moment: 0.00 μB per formula unit
* mass density: 8.24 g cm⁻³
* SG: P4/mmm